No. 1
Compound: DyHoTlB
Source: OQMD
Functional: PBE
Structure: optimized geometry

Cell lengths 3.6329, 3.6329, 16.8974 Å; angles 90.00, 90.00, 120.00 degrees
Last column: nearest neighbours and their distance in Å.
Fractional positions:
B1 0.0000 0.0000 0.0000  6 Dy 2.61
B2 0.0000 0.0000 0.5000  6 Ho 2.60
Dy1 0.3333 0.6667 0.0917  3 B 2.61
Dy2 0.6667 0.3333 0.9083  3 B 2.61
Ho1 0.3333 0.6667 0.4094  3 B 2.60
Ho2 0.6667 0.3333 0.5906  3 B 2.60
Tl1 0.6667 0.3333 0.2510  3 Ho 3.40, 3 Dy 3.41, 6 Tl 3.63
Tl2 0.3333 0.6667 0.7490  3 Ho 3.40, 3 Dy 3.41, 6 Tl 3.63

No. 2
Compound: DyHoTlB
Source: OQMD
Functional: PBE
Structure: optimized geometry

Cell lengths 3.6350, 3.6350, 16.8936 Å; angles 90.00, 90.00, 120.00 degrees
Last column: nearest neighbours and their distance in Å.
Fractional positions:
B1 0.0000 0.0000 0.2507  3 Ho 2.60, 3 Dy 2.60
B2 0.0000 0.0000 0.7493  3 Ho 2.60, 3 Dy 2.60
Dy1 0.3333 0.6667 0.1595  3 B 2.60
Dy2 0.3333 0.6667 0.8405  3 B 2.60
Ho1 0.6667 0.3333 0.3417  3 B 2.60
Ho2 0.6667 0.3333 0.6583  3 B 2.60
Tl1 0.6667 0.3333 0.0000  6 Dy 3.42, 6 Tl 3.63
Tl2 0.3333 0.6667 0.5000  6 Ho 3.40, 6 Tl 3.63

No. 3
Compound: Dy4BI5
Source: OQMD
Functional: PBE
Structure: optimized geometry

Cell lengths 9.7333, 9.7333, 8.6569 Å; angles 102.30, 102.30, 24.03 degrees
Last column: nearest neighbours and their distance in Å.
Fractional positions:
B1 0.5000 0.5000 0.0000  6 Dy 2.51-2.64
Dy1 0.6349 0.6349 0.0681  1 B 2.51
Dy2 0.9992 0.9992 0.1948  2 B 2.64
Dy3 0.0008 0.0008 0.8052  2 B 2.64
Dy4 0.3651 0.3651 0.9319  1 B 2.51
I1 0.8290 0.8290 0.1745  3 Dy 3.10-3.21
I2 0.1650 0.1650 0.3406  3 Dy 3.07-3.13
I3 0.5000 0.5000 0.5000  4 Dy 3.33
I4 0.8350 0.8350 0.6594  3 Dy 3.07-3.13
I5 0.1710 0.1710 0.8255  3 Dy 3.10-3.21

No. 4
Compound: Nd2Dy2BI5
Source: OQMD
Functional: PBE
Structure: optimized geometry

Cell lengths 9.9214, 9.9214, 8.9329 Å; angles 102.14, 102.14, 24.00 degrees
Last column: nearest neighbours and their distance in Å.
Fractional positions:
B1 0.5000 0.5000 0.0000  2 Dy 2.52, 4 Nd 2.74
Dy1 0.6331 0.6331 0.0666  1 B 2.52
Dy2 0.3669 0.3669 0.9334  1 B 2.52
I1 0.8276 0.8276 0.1633  2 Dy 3.12, 1 Nd 3.27
I2 0.1670 0.1670 0.3288  2 Dy 3.08, 1 Nd 3.21
I3 0.5000 0.5000 0.5000  4 Nd 3.37
I4 0.8330 0.8330 0.6712  2 Dy 3.08, 1 Nd 3.21
I5 0.1724 0.1724 0.8367  2 Dy 3.12, 1 Nd 3.27
Nd1 0.9989 0.9989 0.2017  2 B 2.74
Nd2 0.0011 0.0011 0.7983  2 B 2.74

No. 5
Compound: Dy2Sc2BI5
Source: OQMD
Functional: PBE
Structure: optimized geometry

Cell lengths 10.5480, 10.5480, 8.5442 Å; angles 101.42, 101.42, 21.62 degrees
Last column: nearest neighbours and their distance in Å.
Fractional positions:
B1 0.5000 0.5000 0.0000  2 Sc 2.33, 4 Dy 2.60
Dy1 0.0000 0.0000 0.1979  2 B 2.60
Dy2 0.0000 0.0000 0.8021  2 B 2.60
I1 0.8456 0.8456 0.1647  2 Sc 2.96, 1 Dy 3.15
I2 0.1541 0.1541 0.3154  2 Sc 2.96, 1 Dy 3.15
I3 0.5000 0.5000 0.5000  4 Dy 3.25
I4 0.8459 0.8459 0.6846  2 Sc 2.96, 1 Dy 3.15
I5 0.1544 0.1544 0.8353  2 Sc 2.96, 1 Dy 3.15
Sc1 0.6147 0.6147 0.0564  1 B 2.33
Sc2 0.3853 0.3853 0.9436  1 B 2.33

No. 6
Compound: Dy2Y2BI5
Source: OQMD
Functional: PBE
Structure: optimized geometry

Cell lengths 9.7553, 9.7553, 8.6645 Å; angles 102.31, 102.31, 23.98 degrees
Last column: nearest neighbours and their distance in Å.
Fractional positions:
B1 0.5000 0.5000 0.0000  2 Y 2.52, 4 Dy 2.64
Dy1 0.9994 0.9994 0.1946  2 B 2.64
Dy2 0.0006 0.0006 0.8054  2 B 2.64
I1 0.8295 0.8295 0.1756  2 Y 3.11, 1 Dy 3.21
I2 0.1645 0.1645 0.3408  2 Y 3.07, 1 Dy 3.13
I3 0.5000 0.5000 0.5000  4 Dy 3.33
I4 0.8355 0.8355 0.6592  2 Y 3.07, 1 Dy 3.13
I5 0.1705 0.1705 0.8244  2 Y 3.11, 1 Dy 3.21
Y1 0.6350 0.6350 0.0681  1 B 2.52
Y2 0.3650 0.3650 0.9319  1 B 2.52

No. 7
Compound: DyB4Ir4
Source: OQMD
Functional: PBE
Structure: optimized geometry

Cell lengths 7.6292, 7.6292, 3.9901 Å; angles 90.00, 90.00, 90.00 degrees
Last column: nearest neighbours and their distance in Å.
Fractional positions:
B1 0.3420 0.2216 0.1114  1 B 1.84
B2 0.6580 0.7784 0.1114  1 B 1.84
B3 0.1580 0.2784 0.3886  1 B 1.84
B4 0.8420 0.7216 0.3886  1 B 1.84
B5 0.7216 0.1580 0.6114  1 B 1.84
B6 0.2784 0.8420 0.6114  1 B 1.84
B7 0.7784 0.3420 0.8886  1 B 1.84
B8 0.2216 0.6580 0.8886  1 B 1.84
Dy1 0.0000 0.0000 0.0000  8 B 2.89-3.14, 4 Ir 3.13
Dy2 0.5000 0.5000 0.5000  8 B 2.89-3.14, 4 Ir 3.13
Ir1 0.6095 0.1600 0.1129  4 B 2.09-2.18
Ir2 0.3905 0.8400 0.1129  4 B 2.09-2.18
Ir3 0.8905 0.3400 0.3871  4 B 2.09-2.18
Ir4 0.1095 0.6600 0.3871  4 B 2.09-2.18
Ir5 0.3400 0.1095 0.6129  4 B 2.09-2.18
Ir6 0.6600 0.8905 0.6129  4 B 2.09-2.18
Ir7 0.1600 0.3905 0.8871  4 B 2.09-2.18
Ir8 0.8400 0.6095 0.8871  4 B 2.09-2.18

No. 8
Compound: DyBIr
Source: OQMD
Functional: PBE
Structure: optimized geometry

Cell lengths 4.2946, 4.2946, 4.2946 Å; angles 60.00, 60.00, 60.00 degrees
Last column: nearest neighbours and their distance in Å.
Fractional positions:
B1 0.7500 0.7500 0.7500  4 Ir 2.63
Dy1 0.2500 0.2500 0.2500  4 Ir 2.63
Ir1 0.0000 0.0000 0.0000  4 Dy 2.63, 4 B 2.63

| no. | final energy (hartree per atom) | theoretical density (g cm⁻³) | magnetic moment (μB per cell) |
| --- | --- | --- | --- |
| 1 | -0.171 | 9.33 | 0.1 |
| 2 | -0.171 | 9.32 | 0.1 |
| 3 | -0.160 | 6.60 | 0.0 |
| 4 | -0.162 | 5.98 | 0.0 |
| 5 | -0.172 | 5.13 | 0.0 |
| 6 | -0.174 | 5.83 | 0.0 |
| 7 | -0.293 | 13.94 | 0.0 |
| 8 | -0.234 | 10.84 | 0.0 |